Density functional theory data (PBE) for crystalline NiSn6Pd2 at its relaxed geometry.

The calculation puts the formation energy at -2.27 eV/f.u.

The structure in CIF format:
```
data_NiSn6Pd2
_cell_length_a 6.9346
_cell_length_b 6.6821
_cell_length_c 10.7524
_cell_angle_alpha 90.00
_cell_angle_beta 127.55
_cell_angle_gamma 90.00
_space_group_name_H-M_alt 'P 1 21/c 1'
_space_group_IT_number 14
_space_group_name_Hall '-P 2ybc'
loop_
_atom_site_label
_atom_site_type_symbol
_atom_site_fract_x
_atom_site_fract_y
_atom_site_fract_z
Ni1 Ni 0.0000 0.0000 0.0000
Sn1 Sn 0.0891 0.1643 0.4240
Sn2 Sn 0.2892 0.6579 0.4475
Sn3 Sn 0.4027 0.5420 0.7799
Pd1 Pd 0.2293 0.1652 0.7406
```

Density functional theory data (PBE) for crystalline Pm4Nd2Hg5 at its relaxed geometry.

The calculation puts the formation energy at -4.25 eV/f.u.

The structure in CIF format:
```
data_Pm4Nd2Hg5
_cell_length_a 8.4628
_cell_length_b 20.1532
_cell_length_c 3.7092
_cell_angle_alpha 90.00
_cell_angle_beta 90.00
_cell_angle_gamma 90.00
_space_group_name_H-M_alt 'P b a m'
_space_group_IT_number 55
_space_group_name_Hall '-P 2 2ab'
loop_
_atom_site_label
_atom_site_type_symbol
_atom_site_fract_x
_atom_site_fract_y
_atom_site_fract_z
Pm1 Pm 0.1062 0.1268 0.0000
Pm2 Pm 0.2068 0.4492 0.0000
Nd1 Nd 0.0102 0.7072 0.0000
Hg1 Hg 0.0000 0.0000 0.5000
Hg2 Hg 0.1044 0.5750 0.5000
Hg3 Hg 0.1940 0.8146 0.5000
```

Density functional theory data (PBE) for crystalline Ca2TaInBr at its relaxed geometry.

Its formation energy from raw total energies is 0.60 eV/atom.

The structure in CIF format:
```
data_Ca2TaInBr
_cell_length_a 5.3171
_cell_length_b 5.3171
_cell_length_c 5.6301
_cell_angle_alpha 90.00
_cell_angle_beta 90.00
_cell_angle_gamma 90.00
_space_group_name_H-M_alt 'P 4/m m m'
_space_group_IT_number 123
_space_group_name_Hall '-P 4 2'
loop_
_atom_site_label
_atom_site_type_symbol
_atom_site_fract_x
_atom_site_fract_y
_atom_site_fract_z
Ca1 Ca 0.0000 0.5000 0.0000
Ta1 Ta 0.0000 0.0000 0.5000
In1 In 0.5000 0.5000 0.5000
Br1 Br 0.5000 0.5000 0.0000
```

Density functional theory data (PBE) for crystalline MgZn6Ga at its relaxed geometry.

The calculation puts the energy relative to the lowest polymorph listed for this composition at 0.0 meV per atom. The calculation puts the formation energy at 0.01 eV/f.u.

The structure in CIF format:
```
data_MgZn6Ga
_cell_length_a 4.5118
_cell_length_b 5.3947
_cell_length_c 5.3932
_cell_angle_alpha 90.00
_cell_angle_beta 90.00
_cell_angle_gamma 90.00
_space_group_name_H-M_alt 'P m m 2'
_space_group_IT_number 25
_space_group_name_Hall 'P 2 -2'
loop_
_atom_site_label
_atom_site_type_symbol
_atom_site_fract_x
_atom_site_fract_y
_atom_site_fract_z
Mg1 Mg 0.0000 0.0000 0.0000
Zn1 Zn 0.0000 0.2539 0.4732
Zn2 Zn 0.0000 0.5000 0.9029
Zn3 Zn 0.5000 0.0000 0.3419
Zn4 Zn 0.5000 0.2466 0.8020
Ga1 Ga 0.5000 0.5000 0.2645
```